DFT (meta-GGA SCAN) results for a crystal of In2Ir relaxed with PBEsol.

The structure belongs to space group I4/mcm (No. 140); the cell edges are 6.412, 6.412 and 5.708 Å and the angles 90.00°, 90.00° and 90.00°. The distinct sites, in fractional coordinates, are In at (0.172, 0.328, 0.000) and Ir at (0.000, 0.000, 0.250).

Its formation energy from the elements is -181 meV per atom. The value obtained for the volume is 19.558 A^3/atom.

***

DFT (meta-GGA SCAN) results for a crystal of AsOsPt relaxed with PBEsol.

The structure belongs to space group I4mm (No. 107); the cell edges are 3.011, 3.011 and 9.808 Å and the angles 90.00°, 90.00° and 90.00°. The distinct sites, in fractional coordinates, are As at (0.000, 0.000, 0.000), Os at (0.000, 0.000, 0.363) and Pt at (0.000, 0.000, 0.670).

Its formation energy from the elements is 388 meV per atom. The value obtained for the volume is 14.825 A^3/atom.